Material: TmSn3Pd4
Method: DFT, PBE-GGA
State: optimized geometry Values from VASP.

Properties
**Symmetry**: No. 6
**Size of the total moment**: 0.01 μB per cell
**Final energy**: -5.321 eV/atom

The structure in Quantum ESPRESSO input format:
```
&SYSTEM
  ibrav = 0, nat = 8, ntyp = 3
/
ATOMIC_SPECIES
Sn 118.71 Sn.upf
Pd 106.42 Pd.upf
Tm 168.93 Tm.upf
CELL_PARAMETERS angstrom
5.864 0.000 0.000
0.000 4.318 0.000
-0.178 0.000 6.202
ATOMIC_POSITIONS crystal
Sn 0.133 0.000 0.824
Pd 0.680 0.000 0.969
Pd 0.336 0.500 0.018
Sn 0.619 0.500 0.668
Tm 0.363 0.000 0.322
Sn 0.881 0.500 0.179
Pd 0.828 0.000 0.477
Pd 0.160 0.500 0.542
```

---

Material: TmZn2SnPd4
Method: DFT, PBE-GGA
State: optimized geometry Values from VASP.

Properties
**Symmetry**: No. 123
**Size of the total moment**: 0.00 μB per cell
**Final energy**: -4.603 eV/atom

The structure in Quantum ESPRESSO input format:
```
&SYSTEM
  ibrav = 0, nat = 8, ntyp = 4
/
ATOMIC_SPECIES
Pd 106.42 Pd.upf
Zn 65.41 Zn.upf
Tm 168.93 Tm.upf
Sn 118.71 Sn.upf
CELL_PARAMETERS angstrom
4.608 0.000 0.000
0.000 4.608 0.000
0.000 0.000 6.425
ATOMIC_POSITIONS crystal
Pd 0.500 0.000 0.238
Pd 0.000 0.500 0.762
Pd 0.500 0.000 0.762
Zn 0.500 0.500 0.500
Tm 0.000 0.000 0.500
Sn 0.500 0.500 0.000
Zn 0.000 0.000 0.000
Pd 0.000 0.500 0.238
```

---

Material: USnPd2
Method: DFT, PBE-GGA
State: optimized geometry Values from VASP.

Properties
**Symmetry**: No. 62
**Size of the total moment**: 8.01 μB per cell
**Final energy**: -6.787 eV/atom

The structure in Quantum ESPRESSO input format:
```
&SYSTEM
  ibrav = 0, nat = 16, ntyp = 3
/
ATOMIC_SPECIES
U 238.03 U.upf
Sn 118.71 Sn.upf
Pd 106.42 Pd.upf
CELL_PARAMETERS angstrom
-8.573 3.194 4.281
-1.736 -4.668 0.006
2.461 -0.908 5.605
ATOMIC_POSITIONS crystal
U 0.108 0.750 0.737
Sn 0.383 0.250 0.739
Pd 0.359 0.750 0.485
U 0.608 0.750 0.763
Sn 0.617 0.750 0.261
Pd 0.149 0.250 0.481
U 0.392 0.250 0.237
Pd 0.351 0.750 0.981
Sn 0.117 0.750 0.239
Pd 0.851 0.750 0.519
Pd 0.141 0.250 0.985
Pd 0.859 0.750 0.015
Pd 0.649 0.250 0.019
Sn 0.883 0.250 0.761
Pd 0.641 0.250 0.515
U 0.892 0.250 0.263
```

---

Material: SnPd2W
Method: DFT, PBE-GGA
State: optimized geometry Values from VASP.

Properties
**Symmetry**: No. 216
**Size of the total moment**: 0.54 μB per cell
**Final energy**: -6.675 eV/atom

The structure in Quantum ESPRESSO input format:
```
&SYSTEM
  ibrav = 0, nat = 4, ntyp = 3
/
ATOMIC_SPECIES
Sn 118.71 Sn.upf
W 183.84 W.upf
Pd 106.42 Pd.upf
CELL_PARAMETERS angstrom
0.000 3.224 3.224
3.224 0.000 3.224
3.224 3.224 0.000
ATOMIC_POSITIONS crystal
Sn 0.500 0.500 0.500
W 0.250 0.250 0.250
Pd 0.000 0.000 0.000
Pd 0.750 0.750 0.750
```

---

Material: Y2SnPd
Method: DFT, PBE-GGA
State: optimized geometry Values from VASP.

Properties
**Symmetry**: No. 38
**Size of the total moment**: 0.01 μB per cell
**Final energy**: -6.331 eV/atom

The structure in Quantum ESPRESSO input format:
```
&SYSTEM
  ibrav = 0, nat = 4, ntyp = 3
/
ATOMIC_SPECIES
Y 88.91 Y.upf
Sn 118.71 Sn.upf
Pd 106.42 Pd.upf
CELL_PARAMETERS angstrom
-3.624 1.983 1.507
2.256 -0.078 5.526
3.346 3.355 3.631
ATOMIC_POSITIONS crystal
Y 0.500 0.360 0.360
Sn 0.500 0.079 0.079
Y 0.000 0.646 0.646
Pd 0.000 0.914 0.914
```

---

Material: YSn2Pd
Method: DFT, PBE-GGA
State: optimized geometry Values from VASP.

Properties
**Symmetry**: No. 216
**Size of the total moment**: 0.01 μB per cell
**Final energy**: -5.332 eV/atom

The structure in Quantum ESPRESSO input format:
```
&SYSTEM
  ibrav = 0, nat = 4, ntyp = 3
/
ATOMIC_SPECIES
Pd 106.42 Pd.upf
Sn 118.71 Sn.upf
Y 88.91 Y.upf
CELL_PARAMETERS angstrom
2.945 -3.578 2.071
-1.762 -4.728 0.556
1.843 -3.750 -2.881
ATOMIC_POSITIONS crystal
Pd 0.500 0.500 0.500
Sn 0.000 0.000 0.000
Y 0.250 0.250 0.250
Sn 0.750 0.750 0.750
```

---

Material: YSn3Pd4
Method: DFT, PBE-GGA
State: optimized geometry Values from VASP.

Properties
**Symmetry**: No. 6
**Size of the total moment**: 0.00 μB per cell
**Final energy**: -5.570 eV/atom

The structure in Quantum ESPRESSO input format:
```
&SYSTEM
  ibrav = 0, nat = 8, ntyp = 3
/
ATOMIC_SPECIES
Sn 118.71 Sn.upf
Pd 106.42 Pd.upf
Y 88.91 Y.upf
CELL_PARAMETERS angstrom
-0.256 3.101 4.695
-2.984 -2.828 1.705
4.677 -3.588 2.235
ATOMIC_POSITIONS crystal
Sn 0.628 0.500 0.661
Pd 0.684 0.000 0.963
Sn 0.150 0.000 0.825
Pd 0.143 0.500 0.560
Pd 0.830 0.000 0.477
Pd 0.348 0.500 0.015
Y 0.344 0.000 0.320
Sn 0.873 0.500 0.179
```

---

Material: Y2SnPd
Method: DFT, PBE-GGA
State: optimized geometry Values from VASP.

Properties
**Symmetry**: No. 216
**Size of the total moment**: 1.34 μB per cell
**Final energy**: -5.859 eV/atom

The structure in Quantum ESPRESSO input format:
```
&SYSTEM
  ibrav = 0, nat = 4, ntyp = 3
/
ATOMIC_SPECIES
Y 88.91 Y.upf
Pd 106.42 Pd.upf
Sn 118.71 Sn.upf
CELL_PARAMETERS angstrom
0.000 3.596 3.596
3.596 0.000 3.596
3.596 3.596 0.000
ATOMIC_POSITIONS crystal
Y 0.750 0.750 0.750
Pd 0.250 0.250 0.250
Y 0.000 0.000 0.000
Sn 0.500 0.500 0.500
```

---

Material: Zn2SnPd
Method: DFT, PBE-GGA
State: optimized geometry Values from VASP.

Properties
**Symmetry**: No. 216
**Final energy**: -3.021 eV/atom

The structure in Quantum ESPRESSO input format:
```
&SYSTEM
  ibrav = 0, nat = 4, ntyp = 3
/
ATOMIC_SPECIES
Pd 106.42 Pd.upf
Zn 65.41 Zn.upf
Sn 118.71 Sn.upf
CELL_PARAMETERS angstrom
0.000 3.273 3.273
3.273 0.000 3.273
3.273 3.273 0.000
ATOMIC_POSITIONS crystal
Pd 0.250 0.250 0.250
Zn 0.750 0.750 0.750
Sn 0.500 0.500 0.500
Zn 0.000 0.000 0.000
```

---

Material: Zn2Sn2Pd3
Method: DFT, PBE-GGA
State: optimized geometry Values from VASP.

Properties
**Symmetry**: No. 160
**Final energy**: -4.173 eV/atom

The structure in Quantum ESPRESSO input format:
```
&SYSTEM
  ibrav = 0, nat = 7, ntyp = 3
/
ATOMIC_SPECIES
Zn 65.41 Zn.upf
Pd 106.42 Pd.upf
Sn 118.71 Sn.upf
CELL_PARAMETERS angstrom
3.887 5.387 3.886
5.426 1.403 5.274
6.882 3.147 1.400
ATOMIC_POSITIONS crystal
Zn 0.246 0.246 0.246
Pd 0.627 0.627 0.627
Pd 0.375 0.375 0.375
Pd 0.124 0.124 0.124
Zn 0.755 0.755 0.755
Sn 0.995 0.995 0.995
Sn 0.504 0.504 0.504
```

---

Material: ZrZn2SnPd4
Method: DFT, PBE-GGA
State: optimized geometry Values from VASP.

Properties
**Symmetry**: No. 123
**Size of the total moment**: 0.01 μB per cell
**Final energy**: -5.022 eV/atom

The structure in Quantum ESPRESSO input format:
```
&SYSTEM
  ibrav = 0, nat = 8, ntyp = 4
/
ATOMIC_SPECIES
Pd 106.42 Pd.upf
Sn 118.71 Sn.upf
Zn 65.41 Zn.upf
Zr 91.22 Zr.upf
CELL_PARAMETERS angstrom
4.607 0.000 0.000
0.000 4.607 0.000
0.000 0.000 6.262
ATOMIC_POSITIONS crystal
Pd 0.500 0.000 0.755
Pd 0.000 0.500 0.755
Sn 0.000 0.000 0.000
Zn 0.000 0.000 0.500
Zn 0.500 0.500 0.000
Zr 0.500 0.500 0.500
Pd 0.500 0.000 0.245
Pd 0.000 0.500 0.245
```

---

Material: SrPd2
Method: DFT, PBE-GGA
State: optimized geometry Values from VASP.

Properties
**Symmetry**: No. 225
**Final energy**: -3.929 eV/atom

The structure in Quantum ESPRESSO input format:
```
&SYSTEM
  ibrav = 0, nat = 3, ntyp = 2
/
ATOMIC_SPECIES
Pd 106.42 Pd.upf
Sr 87.62 Sr.upf
CELL_PARAMETERS angstrom
3.820 -2.223 -1.670
2.673 -2.604 2.898
0.011 -4.708 -0.390
ATOMIC_POSITIONS crystal
Pd 0.250 0.250 0.250
Pd 0.750 0.750 0.750
Sr 0.000 0.000 0.000
```

---

Material: Sr13Pd2
Method: DFT, PBE-GGA
State: optimized geometry Values from VASP.

Properties
**Symmetry**: No. 2
**Final energy**: -2.361 eV/atom

The structure in Quantum ESPRESSO input format:
```
&SYSTEM
  ibrav = 0, nat = 15, ntyp = 2
/
ATOMIC_SPECIES
Sr 87.62 Sr.upf
Pd 106.42 Pd.upf
CELL_PARAMETERS angstrom
-5.130 -2.158 -4.889
5.450 -6.208 -4.787
-0.699 -10.691 3.657
ATOMIC_POSITIONS crystal
Sr 0.769 0.463 0.923
Sr 0.231 0.537 0.077
Sr 0.382 0.230 0.464
Sr 0.307 0.383 0.770
Pd 0.807 0.884 0.270
Sr 0.693 0.617 0.230
Sr 0.465 0.076 0.155
Sr 0.922 0.153 0.307
Sr 0.535 0.924 0.845
Sr 0.618 0.770 0.536
Pd 0.193 0.116 0.730
Sr 0.151 0.694 0.383
Sr 0.849 0.306 0.617
Sr 0.078 0.847 0.693
Sr 0.000 0.000 0.000
```

---

Material: Sr7Pd4
Method: DFT, PBE-GGA
State: optimized geometry Values from VASP.

Properties
**Symmetry**: No. 12
**Final energy**: -3.426 eV/atom

The structure in Quantum ESPRESSO input format:
```
&SYSTEM
  ibrav = 0, nat = 22, ntyp = 2
/
ATOMIC_SPECIES
Sr 87.62 Sr.upf
Pd 106.42 Pd.upf
CELL_PARAMETERS angstrom
-2.447 -6.719 6.381
-2.289 -8.949 2.553
17.647 0.497 0.436
ATOMIC_POSITIONS crystal
Sr 0.195 0.195 0.816
Sr 0.828 0.828 0.966
Sr 0.988 0.988 0.823
Pd 0.936 0.936 0.639
Sr 0.561 0.561 0.674
Pd 0.621 0.621 0.890
Pd 0.379 0.379 0.110
Pd 0.634 0.634 0.152
Sr 0.012 0.012 0.177
Sr 0.659 0.659 0.474
Sr 0.205 0.205 0.301
Pd 0.366 0.366 0.848
Sr 0.000 0.000 0.500
Pd 0.064 0.064 0.361
Sr 0.795 0.795 0.699
Sr 0.341 0.341 0.526
Sr 0.172 0.172 0.034
Pd 0.172 0.172 0.619
Pd 0.828 0.828 0.381
Sr 0.439 0.439 0.326
Sr 0.805 0.805 0.184
Sr 0.500 0.500 0.000
```

---

Material: Sr4Pd
Method: DFT, PBE-GGA
State: optimized geometry Values from VASP.

Properties
**Symmetry**: No. 139
**Final energy**: -2.685 eV/atom

The structure in Quantum ESPRESSO input format:
```
&SYSTEM
  ibrav = 0, nat = 5, ntyp = 2
/
ATOMIC_SPECIES
Sr 87.62 Sr.upf
Pd 106.42 Pd.upf
CELL_PARAMETERS angstrom
-3.033 3.033 6.117
3.033 -3.033 6.117
3.033 3.033 -6.117
ATOMIC_POSITIONS crystal
Sr 0.743 0.743 0.000
Sr 0.988 0.488 0.500
Sr 0.234 0.234 0.000
Sr 0.488 0.988 0.500
Pd 0.988 0.988 0.000
```

---

Material: Sr5Pd19
Method: DFT, PBE-GGA
State: optimized geometry Values from VASP.

Properties
**Symmetry**: No. 194
**Final energy**: -4.902 eV/atom

The structure in Quantum ESPRESSO input format:
```
&SYSTEM
  ibrav = 0, nat = 48, ntyp = 2
/
ATOMIC_SPECIES
Pd 106.42 Pd.upf
Sr 87.62 Sr.upf
CELL_PARAMETERS angstrom
4.723 -2.727 0.000
4.723 2.727 0.000
0.000 0.000 35.592
ATOMIC_POSITIONS crystal
Pd 0.334 0.833 0.188
Pd 0.000 0.000 0.374
Pd 0.168 0.665 0.937
Pd 0.666 0.167 0.812
Pd 0.000 0.000 0.750
Sr 0.667 0.667 0.521
Pd 0.000 0.000 0.000
Pd 0.167 0.167 0.812
Pd 0.833 0.334 0.188
Pd 0.167 0.666 0.688
Sr 0.667 0.667 0.979
Pd 0.334 0.833 0.312
Pd 0.666 0.167 0.688
Pd 0.832 0.832 0.063
Pd 0.832 0.335 0.063
Pd 0.167 0.666 0.812
Pd 0.833 0.833 0.188
Pd 0.333 0.333 0.626
Pd 0.833 0.833 0.312
Pd 0.168 0.168 0.563
Pd 0.665 0.168 0.937
Pd 0.667 0.667 0.250
Pd 0.667 0.667 0.374
Pd 0.333 0.333 0.874
Pd 0.000 0.000 0.126
Pd 0.665 0.168 0.563
Pd 0.335 0.832 0.437
Sr 0.667 0.667 0.869
Pd 0.333 0.333 0.750
Sr 0.333 0.333 0.021
Pd 0.832 0.832 0.437
Sr 0.667 0.667 0.631
Pd 0.000 0.000 0.626
Pd 0.000 0.000 0.500
Pd 0.000 0.000 0.874
Pd 0.167 0.167 0.688
Pd 0.833 0.334 0.312
Pd 0.168 0.665 0.563
Pd 0.168 0.168 0.937
Pd 0.832 0.335 0.437
Sr 0.333 0.333 0.250
Pd 0.000 0.000 0.250
Pd 0.335 0.832 0.063
Sr 0.333 0.333 0.369
Sr 0.333 0.333 0.479
Pd 0.667 0.667 0.126
Sr 0.333 0.333 0.131
Sr 0.667 0.667 0.750
```

---

Material: SrPd2
Method: DFT, PBE-GGA
State: optimized geometry Values from VASP.

Properties
**Symmetry**: No. 227
**Final energy**: -4.656 eV/atom

The structure in Quantum ESPRESSO input format:
```
&SYSTEM
  ibrav = 0, nat = 6, ntyp = 2
/
ATOMIC_SPECIES
Pd 106.42 Pd.upf
Sr 87.62 Sr.upf
CELL_PARAMETERS angstrom
0.000 3.937 3.937
3.937 0.000 3.937
3.937 3.937 0.000
ATOMIC_POSITIONS crystal
Pd 0.125 0.625 0.625
Pd 0.625 0.625 0.625
Sr 0.250 0.250 0.250
Sr 0.000 0.000 0.000
Pd 0.625 0.125 0.625
Pd 0.625 0.625 0.125
```

---

Material: Sr5Pd2
Method: DFT, PBE-GGA
State: optimized geometry Values from VASP.

Properties
**Symmetry**: No. 15
**Final energy**: -3.114 eV/atom

The structure in Quantum ESPRESSO input format:
```
&SYSTEM
  ibrav = 0, nat = 14, ntyp = 2
/
ATOMIC_SPECIES
Sr 87.62 Sr.upf
Pd 106.42 Pd.upf
CELL_PARAMETERS angstrom
-0.572 7.890 -5.418
-0.205 1.938 -9.389
-7.981 -1.088 0.894
ATOMIC_POSITIONS crystal
Sr 0.571 0.429 0.250
Sr 0.206 0.365 0.681
Sr 0.794 0.635 0.319
Sr 0.635 0.794 0.819
Sr 0.191 0.994 0.415
Sr 0.365 0.206 0.181
Pd 0.596 0.180 0.918
Sr 0.994 0.191 0.915
Pd 0.180 0.596 0.418
Pd 0.404 0.820 0.082
Sr 0.006 0.809 0.085
Sr 0.809 0.006 0.585
Pd 0.820 0.404 0.582
Sr 0.429 0.571 0.750
```

---

Material: SrTaPd
Method: DFT, PBE-GGA
State: optimized geometry Values from VASP.

Properties
**Symmetry**: No. 216
**Size of the total moment**: 3.20 μB per cell
**Final energy**: -4.521 eV/atom

The structure in Quantum ESPRESSO input format:
```
&SYSTEM
  ibrav = 0, nat = 3, ntyp = 3
/
ATOMIC_SPECIES
Pd 106.42 Pd.upf
Sr 87.62 Sr.upf
Ta 180.95 Ta.upf
CELL_PARAMETERS angstrom
0.000 3.486 3.486
3.486 0.000 3.486
3.486 3.486 0.000
ATOMIC_POSITIONS crystal
Pd 0.250 0.250 0.250
Sr 0.000 0.000 0.000
Ta 0.750 0.750 0.750
```

---

Material: SrTaPd
Method: DFT, PBE-GGA
State: optimized geometry Values from VASP.

Properties
**Symmetry**: No. 216
**Size of the total moment**: 1.19 μB per cell
**Final energy**: -5.470 eV/atom

The structure in Quantum ESPRESSO input format:
```
&SYSTEM
  ibrav = 0, nat = 3, ntyp = 3
/
ATOMIC_SPECIES
Pd 106.42 Pd.upf
Ta 180.95 Ta.upf
Sr 87.62 Sr.upf
CELL_PARAMETERS angstrom
-2.164 2.998 3.035
-1.705 4.182 -1.577
-4.723 0.700 -0.290
ATOMIC_POSITIONS crystal
Pd 0.000 0.000 0.000
Ta 0.750 0.750 0.750
Sr 0.250 0.250 0.250
```

---

Material: SrTbTe3Pd
Method: DFT, PBE-GGA
State: optimized geometry Values from VASP.

Properties
**Symmetry**: No. 62
**Size of the total moment**: 0.01 μB per cell
**Final energy**: -4.719 eV/atom

The structure in Quantum ESPRESSO input format:
```
&SYSTEM
  ibrav = 0, nat = 24, ntyp = 4
/
ATOMIC_SPECIES
Tb 158.93 Tb.upf
Sr 87.62 Sr.upf
Te 127.60 Te.upf
Pd 106.42 Pd.upf
CELL_PARAMETERS angstrom
-14.463 0.508 -1.098
-0.331 -0.021 4.353
0.401 11.609 0.087
ATOMIC_POSITIONS crystal
Tb 0.020 0.750 0.827
Sr 0.279 0.250 0.049
Te 0.100 0.250 0.389
Tb 0.480 0.250 0.327
Sr 0.721 0.750 0.951
Pd 0.508 0.250 0.906
Pd 0.492 0.750 0.094
Pd 0.008 0.250 0.594
Te 0.891 0.250 0.930
Tb 0.980 0.250 0.173
Sr 0.221 0.750 0.549
Pd 0.992 0.750 0.406
Te 0.900 0.750 0.611
Te 0.157 0.250 0.756
Te 0.343 0.750 0.256
Te 0.391 0.250 0.570
Sr 0.779 0.250 0.451
Te 0.843 0.750 0.244
Te 0.609 0.750 0.430
Te 0.109 0.750 0.070
Te 0.600 0.250 0.111
Te 0.657 0.250 0.744
Tb 0.520 0.750 0.673
Te 0.400 0.750 0.889
```

---

Material: SrTbTe3Pd
Method: DFT, PBE-GGA
State: optimized geometry Values from VASP.

Properties
**Symmetry**: No. 63
**Size of the total moment**: 0.01 μB per cell
**Final energy**: -4.701 eV/atom

The structure in Quantum ESPRESSO input format:
```
&SYSTEM
  ibrav = 0, nat = 12, ntyp = 4
/
ATOMIC_SPECIES
Sr 87.62 Sr.upf
Te 127.60 Te.upf
Pd 106.42 Pd.upf
Tb 158.93 Tb.upf
CELL_PARAMETERS angstrom
-2.162 4.869 -5.695
-0.838 -6.921 3.494
-7.830 4.309 6.657
ATOMIC_POSITIONS crystal
Sr 0.760 0.240 0.750
Te 0.916 0.084 0.250
Sr 0.240 0.760 0.250
Pd 0.472 0.528 0.750
Tb 0.000 0.000 0.000
Pd 0.528 0.472 0.250
Tb 0.000 0.000 0.500
Te 0.084 0.916 0.750
Te 0.356 0.644 0.558
Te 0.644 0.356 0.442
Te 0.356 0.644 0.942
Te 0.644 0.356 0.058
```